A relaxed structure of CuPtF4, computed with GGA-PBE.

```
data_CuPtF4
_cell_length_a 6.0429
_cell_length_b 6.0547
_cell_length_c 5.8343
_cell_angle_alpha 90.00
_cell_angle_beta 90.00
_cell_angle_gamma 90.00
_symmetry_space_group_name_H-M 'P 1'
_symmetry_Int_Tables_number 1
_symmetry_space_group_name_Hall 'P 1'
loop_
_atom_site_label
_atom_site_type_symbol
_atom_site_fract_x
_atom_site_fract_y
_atom_site_fract_z
_atom_site_occupancy
Cu1 Cu 0.0000 0.0000 0.0000 1
Cu2 Cu 0.5000 0.0000 0.5000 1
Pt1 Pt 0.0000 0.5000 0.0000 1
Pt2 Pt 0.0000 0.0000 0.5000 1
F1 F 0.2135 0.2485 0.0000 1
F2 F 0.2135 0.7515 0.0000 1
F3 F 0.7865 0.2485 0.0000 1
F4 F 0.7865 0.7515 0.0000 1
F5 F 0.7436 0.7900 0.5000 1
F6 F 0.7436 0.2100 0.5000 1
F7 F 0.2564 0.7900 0.5000 1
F8 F 0.2564 0.2100 0.5000 1
```

Space-group type   Pmmm, No. 47
Formation energy without anion corrections   -1.14 eV/atom
Spin magnetization   0.173 μB/atom
V   17.8 Å³/atom
Total energy   -4.08 eV/atom